{
  "formula": "Li2TaNi3O6",
  "functional": "PBE with a Hubbard U",
  "state": "optimized geometry",
  "cell": [[5.2142, 0.2160, -0.1440], [-2.4187, 4.6243, -0.1440], [-1.0611, -1.8373, 4.9133]],
  "species": ["Li", "Li", "Ta", "Ni", "Ni", "Ni", "O", "O", "O", "O", "O", "O"],
  "fractional_positions": [[0.3427, 0.6573, 0.0000], [0.6573, 0.3427, 0.0000], [0.0000, 0.0000, 0.0000], [0.1718, 0.8282, 0.5000], [0.8282, 0.1718, 0.5000], [0.5000, 0.5000, 0.5000], [0.9412, 0.6085, 0.7440], [0.7850, 0.7850, 0.2158], [0.0588, 0.3915, 0.2560], [0.6085, 0.9412, 0.7440], [0.2150, 0.2150, 0.7842], [0.3915, 0.0588, 0.2560]],
  "energy_ev_per_cell": -73.835,
  "volume_a3_per_cell": 118.3
}